(1)
A plane-wave DFT calculation with PBE was carried out for a geometry-optimized TaCuCl2 structure.

```
TaCuCl2
1.0
-2.042 2.042 3.794
2.042 -2.042 3.794
2.042 2.042 -3.794
Ta Cu Cl
1 1 2
Direct
0.000 0.000 0.000 Ta
0.500 0.500 0.000 Cu
0.250 0.750 0.500 Cl
0.750 0.250 0.500 Cl
```

Formation energy from raw total energies (eV/atom): 0.40
Magnetic moment (μB/atom): 0.000
Energy above the most stable polymorph in this dataset (eV per formula unit): 3.25
Density of states at the Fermi level (states/eV per cell): 2.2

(2)
A plane-wave DFT calculation with PBE was carried out for a geometry-optimized YTaCu2Cl structure.

```
YTaCu2Cl
1.0
4.741 0.000 0.000
0.000 4.741 0.000
0.000 0.000 5.785
Y Ta Cu Cl
1 1 2 1
Direct
0.000 0.000 0.000 Y
0.000 0.000 0.500 Ta
0.000 0.500 0.500 Cu
0.500 0.000 0.500 Cu
0.500 0.500 0.000 Cl
```

Formation energy from raw total energies (eV/atom): 0.84
Magnetic moment (μB/atom): 0.000
Density of states at the Fermi level (states/eV per cell): 4.5

(3)
A plane-wave DFT calculation with PBE was carried out for a geometry-optimized Tb2CuCl structure.

```
Tb2CuCl
1.0
1.948 1.125 7.417
-1.948 1.125 7.417
0.000 -2.250 7.417
Tb Cu Cl
2 1 1
Direct
0.000 0.000 0.000 Tb
0.189 0.189 0.189 Tb
0.594 0.594 0.594 Cu
0.763 0.763 0.763 Cl
```

Formation energy from raw total energies (eV/atom): -0.70
Magnetic moment (μB/atom): 0.000
Energy above the most stable polymorph in this dataset (eV per formula unit): 0.18
Density of states at the Fermi level (states/eV per cell): 3.1

(4)
A plane-wave DFT calculation with PBE was carried out for a geometry-optimized TbCuCl4 structure.

```
TbCuCl4
1.0
6.853 0.000 0.000
-2.803 6.573 0.000
-2.025 -3.278 8.245
Tb Cu Cl
2 2 8
Direct
0.183 0.433 0.368 Tb
0.817 0.567 0.632 Tb
0.427 0.179 0.852 Cu
0.573 0.821 0.148 Cu
0.024 0.321 0.595 Cl
0.172 0.910 0.874 Cl
0.294 0.530 0.124 Cl
0.430 0.226 0.408 Cl
0.570 0.774 0.592 Cl
0.706 0.470 0.876 Cl
0.828 0.090 0.126 Cl
0.976 0.679 0.405 Cl
```

Formation energy from raw total energies (eV/atom): -1.63
Magnetic moment (μB/atom): 0.033
Density of states at the Fermi level (states/eV per cell): 0.0

(5)
A plane-wave DFT calculation with PBE was carried out for a geometry-optimized Tb2CuCl structure.

```
Tb2CuCl
1.0
1.997 1.153 6.855
-1.997 1.153 6.855
0.000 -2.306 6.855
Tb Cu Cl
2 1 1
Direct
0.243 0.243 0.243 Tb
0.757 0.757 0.757 Tb
0.500 0.500 0.500 Cu
0.000 0.000 0.000 Cl
```

Formation energy from raw total energies (eV/atom): -0.75
Magnetic moment (μB/atom): 0.000
Energy above the most stable polymorph in this dataset (eV per formula unit): 0.00
Density of states at the Fermi level (states/eV per cell): 2.5

(6)
A plane-wave DFT calculation with PBE was carried out for a geometry-optimized TbCu2Cl8 structure.

```
TbCu2Cl8
1.0
-3.348 3.348 5.897
3.348 -3.348 5.897
3.348 3.348 -5.897
Tb Cu Cl
1 2 8
Direct
0.000 0.000 0.000 Tb
0.250 0.750 0.500 Cu
0.750 0.250 0.500 Cu
0.048 0.559 0.844 Cl
0.205 0.048 0.489 Cl
0.284 0.441 0.489 Cl
0.441 0.952 0.156 Cl
0.559 0.716 0.511 Cl
0.716 0.205 0.156 Cl
0.795 0.284 0.844 Cl
0.952 0.795 0.511 Cl
```

Formation energy from raw total energies (eV/atom): -1.01
Magnetic moment (μB/atom): 0.002
Density of states at the Fermi level (states/eV per cell): 5.1

(7)
A plane-wave DFT calculation with PBE was carried out for a geometry-optimized TbCu3Cl9 structure.

```
TbCu3Cl9
1.0
9.389 -3.749 0.000
9.389 3.749 0.000
-7.899 0.000 10.692
Tb Cu Cl
2 6 18
Direct
0.242 0.758 0.500 Tb
0.758 0.242 0.000 Tb
0.009 0.283 0.840 Cu
0.252 0.455 0.667 Cu
0.283 0.009 0.340 Cu
0.455 0.252 0.167 Cu
0.702 0.791 0.234 Cu
0.791 0.702 0.734 Cu
0.083 0.171 0.185 Cl
0.139 0.905 0.332 Cl
0.147 0.377 0.042 Cl
0.171 0.083 0.685 Cl
0.341 0.602 0.661 Cl
0.363 0.397 0.345 Cl
0.377 0.147 0.542 Cl
0.397 0.363 0.845 Cl
0.596 0.755 0.319 Cl
0.602 0.341 0.161 Cl
0.618 0.620 0.545 Cl
0.620 0.618 0.045 Cl
0.701 0.925 0.144 Cl
0.755 0.596 0.819 Cl
0.865 0.888 0.425 Cl
0.888 0.865 0.925 Cl
0.905 0.139 0.832 Cl
0.925 0.701 0.644 Cl
```

Formation energy from raw total energies (eV/atom): -0.96
Magnetic moment (μB/atom): 0.077
Density of states at the Fermi level (states/eV per cell): 14.5

(8)
A plane-wave DFT calculation with PBE was carried out for a geometry-optimized Tb2CuCl8 structure.

```
Tb2CuCl8
1.0
7.138 -5.360 0.000
7.138 5.360 0.000
-0.304 0.000 5.365
Tb Cu Cl
2 1 8
Direct
0.227 0.227 0.236 Tb
0.773 0.773 0.764 Tb
0.000 0.000 0.000 Cu
0.072 0.751 0.811 Cl
0.217 0.217 0.728 Cl
0.249 0.928 0.189 Cl
0.399 0.399 0.249 Cl
0.601 0.601 0.751 Cl
0.751 0.072 0.811 Cl
0.783 0.783 0.272 Cl
0.928 0.249 0.189 Cl
```

Formation energy from raw total energies (eV/atom): -1.60
Magnetic moment (μB/atom): 0.092

(9)
A plane-wave DFT calculation with PBE was carried out for a geometry-optimized TbTlCuCl5 structure.

```
TbTlCuCl5
1.0
4.408 -5.949 0.000
4.408 5.949 0.000
-3.972 0.000 9.204
Tb Tl Cu Cl
2 2 2 10
Direct
0.000 0.000 0.000 Tb
0.000 0.000 0.500 Tb
0.352 0.648 0.750 Tl
0.648 0.352 0.250 Tl
0.309 0.691 0.250 Cu
0.691 0.309 0.750 Cu
0.078 0.922 0.750 Cl
0.096 0.691 0.388 Cl
0.242 0.379 0.077 Cl
0.309 0.904 0.112 Cl
0.379 0.242 0.577 Cl
0.621 0.758 0.423 Cl
0.691 0.096 0.888 Cl
0.758 0.621 0.923 Cl
0.904 0.309 0.612 Cl
0.922 0.078 0.250 Cl
```

Formation energy from raw total energies (eV/atom): -1.50
Magnetic moment (μB/atom): 0.019
Density of states at the Fermi level (states/eV per cell): 0.0

(10)
A plane-wave DFT calculation with PBE was carried out for a geometry-optimized TbTl2CuCl6 structure.

```
TbTl2CuCl6
1.0
6.936 -3.543 0.000
6.936 3.543 0.000
-2.384 0.000 6.104
Tb Tl Cu Cl
1 2 1 6
Direct
0.000 0.000 0.000 Tb
0.262 0.262 0.801 Tl
0.738 0.738 0.199 Tl
0.500 0.500 0.500 Cu
0.194 0.194 0.281 Cl
0.200 0.675 0.219 Cl
0.325 0.800 0.781 Cl
0.675 0.200 0.219 Cl
0.800 0.325 0.781 Cl
0.806 0.806 0.719 Cl
```

Formation energy from raw total energies (eV/atom): -1.37
Magnetic moment (μB/atom): 0.001
Density of states at the Fermi level (states/eV per cell): 0.0